## Tb3ZnGa2Cu6 (PBE-GGA)

Data for Tb3ZnGa2Cu6 after structural relaxation.

POSCAR file:
```
Tb3ZnGa2Cu6
1.0
5.491 0.000 0.000
-2.746 4.755 0.000
0.000 0.000 8.253
Tb Zn Ga Cu
3 1 2 6
direct
0.000 0.000 0.000
0.333 0.667 0.612
0.667 0.333 0.388
0.000 0.000 0.500
0.333 0.667 0.996
0.667 0.333 0.004
0.180 0.361 0.271
0.180 0.820 0.271
0.361 0.180 0.729
0.639 0.820 0.271
0.820 0.180 0.729
0.820 0.639 0.729
```

Values from the calculation:
- Spin magnetization: 0.0 μB/f.u.
- D(E_F): 0.42 states/eV/atom
- Final energy: -3.98 eV/atom
- Calculated density: 8.19 g/cm3